Below is a relaxed structure of ErBeRh, with properties calculated at the GGA-PBE level.

Results
The crystal system is hexagonal. The energy above the most stable polymorph in this dataset comes out at 0.07 eV/f.u. Its symmetry is No. 187. For the density of states at the Fermi level, the calculation gives 1.59 states/eV per cell. The total energy comes out at -5.84 eV per atom.

Cell: 3.9128 3.9128 3.9105 Å, 90.00 90.00 120.00°
Last column: nearest neighbours and their distance in Å.
Sites, in units of the cell vectors:
Er 0.0000 0.0000 0.0000  6 Rh 2.99, 6 Be 2.99
Be 0.3333 0.6667 0.5000  3 Rh 2.26
Rh 0.6667 0.3333 0.5000  3 Be 2.26